Record 1
First-principles (PBE) data for crystalline CeTaNbOs2 at its relaxed geometry, as listed in the Alexandria database.

Cell and atoms, written as POSCAR:
```
CeTaNbOs2
1.0
4.404 0.000 0.000
0.000 4.404 0.000
-2.202 -2.202 5.404
Os Ta Ce Nb
2 1 1 1
Direct
0.380 0.380 0.760
0.620 0.620 0.240
0.250 0.750 0.500
0.000 0.000 0.000
0.750 0.250 0.500
```

Values from the calculation:
symmetry = I-4m2 (119)
uncorrected energy = -10.2682 eV/atom
energy of formation = -0.21 eV per atom


Record 2
First-principles (PBE) data for crystalline CeNbTcOs at its relaxed geometry, as listed in the Alexandria database.

Cell and atoms, written as POSCAR:
```
CeNbTcOs
1.0
-0.934 -0.652 -4.548
-4.268 -1.404 -1.339
-2.843 2.967 -2.258
Nb Os Ce Tc
1 1 1 1
Direct
0.000 0.000 0.000
0.750 0.750 0.750
0.500 0.500 0.500
0.250 0.250 0.250
```

Values from the calculation:
symmetry = F-43m (216)
uncorrected energy = -9.4521 eV/atom
energy of formation = -0.05 eV per atom


Record 3
First-principles (PBE) data for crystalline Ce2NbP3 at its relaxed geometry, as listed in the Alexandria database.

Cell and atoms, written as POSCAR:
```
Ce2NbP3
1.0
5.559 0.000 0.000
0.000 7.837 0.001
-2.779 -1.960 5.781
Ce Nb P
4 2 6
Direct
0.329 0.914 0.658
0.671 0.086 0.342
0.329 0.414 0.658
0.671 0.586 0.342
0.000 0.250 0.000
0.000 0.750 0.000
0.849 0.425 0.698
0.151 0.075 0.302
0.849 0.925 0.698
0.500 0.750 0.000
0.500 0.250 0.000
0.151 0.575 0.302
```

Values from the calculation:
symmetry = Immm (71)
uncorrected energy = -7.5476 eV/atom
energy of formation = -1.19 eV per atom


Record 4
First-principles (PBE) data for crystalline CeNbP2Rh5 at its relaxed geometry, as listed in the Alexandria database.

Cell and atoms, written as POSCAR:
```
CeNbP2Rh5
1.0
-0.548 -3.677 -1.489
2.829 -1.416 2.456
-7.157 -1.842 7.183
Rh Ce Nb P
5 1 1 2
Direct
0.000 0.500 0.169
0.000 0.500 0.831
0.500 0.500 0.500
0.500 0.000 0.831
0.500 0.000 0.169
0.000 0.000 0.500
0.000 0.000 0.000
0.500 0.500 0.278
0.500 0.500 0.722
```

Values from the calculation:
symmetry = P4/mmm (123)
uncorrected energy = -7.7237 eV/atom
energy of formation = -0.66 eV per atom


Record 5
First-principles (PBE) data for crystalline Ce2NbP3Rh4 at its relaxed geometry, as listed in the Alexandria database.

Cell and atoms, written as POSCAR:
```
Ce2NbP3Rh4
1.0
-3.820 -0.957 -0.969
1.277 -1.518 -3.537
1.216 -9.366 4.458
Ce P Rh Nb
2 3 4 1
Direct
0.000 0.500 0.764
0.500 0.000 0.236
0.000 0.000 0.500
0.000 0.500 0.132
0.500 0.000 0.868
0.500 0.000 0.642
0.000 0.500 0.358
0.000 0.000 0.000
0.500 0.500 0.000
0.500 0.500 0.500
```

Values from the calculation:
symmetry = P-4m2 (115)
uncorrected energy = -7.7455 eV/atom
energy of formation = -0.99 eV per atom


Record 6
First-principles (PBE) data for crystalline CeNbP2Ru at its relaxed geometry, as listed in the Alexandria database.

Cell and atoms, written as POSCAR:
```
CeNbP2Ru
1.0
4.162 0.000 0.000
0.000 4.162 0.000
-2.081 -2.081 5.096
P Nb Ru Ce
2 1 1 1
Direct
0.623 0.623 0.245
0.377 0.377 0.755
0.750 0.250 0.500
0.250 0.750 0.500
0.000 0.000 0.000
```

Values from the calculation:
symmetry = I-4m2 (119)
uncorrected energy = -8.0713 eV/atom
energy of formation = -0.85 eV per atom


Record 7
First-principles (PBE) data for crystalline CeNbTcP2 at its relaxed geometry, as listed in the Alexandria database.

Cell and atoms, written as POSCAR:
```
CeNbTcP2
1.0
3.927 0.000 0.000
0.000 3.927 0.000
-1.964 -1.964 5.913
Nb P Tc Ce
1 2 1 1
Direct
0.250 0.750 0.500
0.620 0.620 0.240
0.380 0.380 0.760
0.750 0.250 0.500
0.000 0.000 0.000
```

Values from the calculation:
symmetry = I-4m2 (119)
uncorrected energy = -8.2714 eV/atom
energy of formation = -0.83 eV per atom


Record 8
First-principles (PBE) data for crystalline CePaNb4 at its relaxed geometry, as listed in the Alexandria database.

Cell and atoms, written as POSCAR:
```
CePaNb4
1.0
5.679 0.000 0.000
2.840 4.919 0.000
2.840 1.640 4.637
Nb Ce Pa
4 1 1
Direct
0.625 0.625 0.625
0.124 0.625 0.625
0.625 0.625 0.124
0.625 0.124 0.625
0.250 0.250 0.250
0.000 0.000 0.000
```

Values from the calculation:
symmetry = F-43m (216)
uncorrected energy = -9.1380 eV/atom
energy of formation = 0.15 eV per atom


Record 9
First-principles (PBE) data for crystalline Ce2PaNb at its relaxed geometry, as listed in the Alexandria database.

Cell and atoms, written as POSCAR:
```
Ce2PaNb
1.0
3.111 0.000 0.000
1.556 2.694 0.000
1.556 0.898 11.370
Pa Nb Ce
1 1 2
Direct
0.500 0.500 0.500
0.000 0.000 0.000
0.082 0.082 0.753
0.918 0.918 0.247
```

Values from the calculation:
symmetry = R-3m (166)
uncorrected energy = -7.5016 eV/atom
energy of formation = 0.36 eV per atom


Record 10
First-principles (PBE) data for crystalline CePaNb at its relaxed geometry, as listed in the Alexandria database.

Cell and atoms, written as POSCAR:
```
CePaNb
1.0
3.522 0.000 0.000
0.000 3.522 0.000
-1.761 -1.761 5.550
Ce Nb Pa
1 1 1
Direct
0.996 0.996 0.993
0.678 0.678 0.357
0.325 0.325 0.650
```

Values from the calculation:
symmetry = I4mm (107)
uncorrected energy = -8.3978 eV/atom
energy of formation = 0.10 eV per atom
energy above the lowest structure with this stoichiometry = 0.000 eV/atom


Record 11
First-principles (PBE) data for crystalline CePaNb at its relaxed geometry, as listed in the Alexandria database.

Cell and atoms, written as POSCAR:
```
CePaNb
1.0
4.222 0.000 0.000
0.000 4.222 0.000
0.000 0.000 7.753
Pa Nb Ce
2 2 2
Direct
0.000 0.500 0.692
0.500 0.000 0.308
0.500 0.500 0.000
0.000 0.000 0.000
0.000 0.500 0.330
0.500 0.000 0.670
```

Values from the calculation:
symmetry = P4/nmm (129)
uncorrected energy = -8.2373 eV/atom
energy of formation = 0.26 eV per atom
energy above the lowest structure with this stoichiometry = 0.160 eV/atom


Record 12
First-principles (PBE) data for crystalline CePaNb at its relaxed geometry, as listed in the Alexandria database.

Cell and atoms, written as POSCAR:
```
CePaNb
1.0
-2.376 -2.030 -0.405
1.725 -1.112 -4.548
1.551 -2.605 3.962
Nb Ce Pa
1 1 1
Direct
0.009 0.000 0.000
0.355 0.667 0.333
0.635 0.333 0.667
```

Values from the calculation:
symmetry = P3m1 (156)
uncorrected energy = -8.3198 eV/atom
energy of formation = 0.18 eV per atom
energy above the lowest structure with this stoichiometry = 0.078 eV/atom


Record 13
First-principles (PBE) data for crystalline Ce2NbPb at its relaxed geometry, as listed in the Alexandria database.

Cell and atoms, written as POSCAR:
```
Ce2NbPb
1.0
3.187 0.000 0.000
1.593 2.760 0.000
1.593 0.920 11.492
Ce Nb Pb
2 1 1
Direct
0.919 0.919 0.243
0.081 0.081 0.757
0.000 0.000 0.000
0.500 0.500 0.500
```

Values from the calculation:
symmetry = R-3m (166)
uncorrected energy = -6.1212 eV/atom
energy of formation = 0.29 eV per atom


Record 14
First-principles (PBE) data for crystalline Ce2NbPd9 at its relaxed geometry, as listed in the Alexandria database.

Cell and atoms, written as POSCAR:
```
Ce2NbPd9
1.0
-2.222 -2.634 2.238
-0.950 -2.093 -3.406
9.946 -7.059 1.564
Pd Ce Nb
9 2 1
Direct
0.500 0.500 0.000
0.500 0.000 0.500
0.000 0.500 0.846
0.500 0.500 0.674
0.500 0.500 0.326
0.500 0.000 0.846
0.000 0.500 0.154
0.000 0.500 0.500
0.500 0.000 0.154
0.000 0.000 0.329
0.000 0.000 0.671
0.000 0.000 0.000
```

Values from the calculation:
symmetry = P4/mmm (123)
uncorrected energy = -6.3606 eV/atom
energy of formation = -0.64 eV per atom


Record 15
First-principles (PBE) data for crystalline CePm2Nb at its relaxed geometry, as listed in the Alexandria database.

Cell and atoms, written as POSCAR:
```
CePm2Nb
1.0
3.348 0.000 0.000
1.674 2.900 0.000
1.674 0.967 11.166
Pm Nb Ce
2 1 1
Direct
0.744 0.744 0.768
0.256 0.256 0.232
0.000 0.000 0.000
0.500 0.500 0.500
```

Values from the calculation:
symmetry = R-3m (166)
uncorrected energy = -6.0134 eV/atom
energy of formation = 0.36 eV per atom


Record 16
First-principles (PBE) data for crystalline Ce2PrNb at its relaxed geometry, as listed in the Alexandria database.

Cell and atoms, written as POSCAR:
```
Ce2PrNb
1.0
3.210 0.000 0.000
1.605 2.780 0.000
1.605 0.927 11.849
Pr Ce Nb
1 2 1
Direct
0.500 0.500 0.500
0.922 0.922 0.234
0.078 0.078 0.766
0.000 0.000 0.000
```

Values from the calculation:
symmetry = R-3m (166)
uncorrected energy = -6.2009 eV/atom
energy of formation = 0.48 eV per atom


Record 17
First-principles (PBE) data for crystalline Ce2NbPt at its relaxed geometry, as listed in the Alexandria database.

Cell and atoms, written as POSCAR:
```
Ce2NbPt
1.0
-1.991 2.224 0.291
-1.590 0.268 2.529
6.522 7.188 5.116
Ce Pt Nb
2 1 1
Direct
0.912 0.912 0.265
0.088 0.088 0.735
0.500 0.500 0.500
0.000 0.000 0.000
```

Values from the calculation:
symmetry = R-3m (166)
uncorrected energy = -6.9429 eV/atom
energy of formation = 0.05 eV per atom


Record 18
First-principles (PBE) data for crystalline CePuNb at its relaxed geometry, as listed in the Alexandria database.

Cell and atoms, written as POSCAR:
```
CePuNb
1.0
3.775 0.000 0.000
0.000 3.775 0.000
-1.888 -1.888 4.778
Pu Nb Ce
1 1 1
Direct
0.329 0.329 0.657
0.671 0.671 0.342
0.000 0.000 0.000
```

Values from the calculation:
symmetry = I4mm (107)
uncorrected energy = -9.8726 eV/atom
energy of formation = 0.24 eV per atom
energy above the lowest structure with this stoichiometry = 0.062 eV/atom


Record 19
First-principles (PBE) data for crystalline CePuNb at its relaxed geometry, as listed in the Alexandria database.

Cell and atoms, written as POSCAR:
```
CePuNb
1.0
3.054 0.000 0.000
0.000 4.997 0.000
0.000 -2.498 4.327
Pu Ce Nb
1 1 1
Direct
0.833 0.000 0.000
0.833 0.667 0.333
0.333 0.333 0.667
```

Values from the calculation:
symmetry = P-6m2 (187)
uncorrected energy = -9.9343 eV/atom
energy of formation = 0.18 eV per atom
energy above the lowest structure with this stoichiometry = 0.000 eV/atom


Record 20
First-principles (PBE) data for crystalline CePu2Nb at its relaxed geometry, as listed in the Alexandria database.

Cell and atoms, written as POSCAR:
```
CePu2Nb
1.0
-1.896 -0.634 -3.303
-1.498 -3.483 -0.728
-7.259 0.608 1.793
Ce Nb Pu
1 1 2
Direct
0.500 0.500 0.500
0.000 0.000 0.000
0.761 0.761 0.718
0.239 0.239 0.282
```

Values from the calculation:
symmetry = R-3m (166)
uncorrected energy = -10.4425 eV/atom
energy of formation = 0.72 eV per atom
energy above the lowest structure with this stoichiometry = 0.486 eV/atom


Record 21
First-principles (PBE) data for crystalline CePu2Nb at its relaxed geometry, as listed in the Alexandria database.

Cell and atoms, written as POSCAR:
```
CePu2Nb
1.0
3.107 0.000 0.000
0.000 3.107 0.000
0.000 0.000 9.606
Pu Nb Ce
2 1 1
Direct
0.000 0.000 0.769
0.000 0.000 0.231
0.500 0.500 0.000
0.500 0.500 0.500
```

Values from the calculation:
symmetry = P4/mmm (123)
uncorrected energy = -10.9282 eV/atom
energy of formation = 0.24 eV per atom
energy above the lowest structure with this stoichiometry = 0.000 eV/atom


Record 22
First-principles (PBE) data for crystalline CePuNb at its relaxed geometry, as listed in the Alexandria database.

Cell and atoms, written as POSCAR:
```
CePuNb
1.0
-0.285 3.127 -1.364
-2.812 -1.807 0.742
-0.187 5.297 12.183
Pu Ce Nb
2 2 2
Direct
0.333 0.667 0.048
0.667 0.333 0.952
0.000 0.000 0.609
0.000 0.000 0.391
0.667 0.333 0.210
0.333 0.667 0.790
```

Values from the calculation:
symmetry = P-3m1 (164)
uncorrected energy = -9.7495 eV/atom
energy of formation = 0.36 eV per atom
energy above the lowest structure with this stoichiometry = 0.185 eV/atom


Record 23
First-principles (PBE) data for crystalline CePuScNb at its relaxed geometry, as listed in the Alexandria database.

Cell and atoms, written as POSCAR:
```
CePuScNb
1.0
-0.123 3.232 3.863
-3.555 -0.444 3.543
1.238 -1.559 4.629
Pu Nb Ce Sc
1 1 1 1
Direct
0.750 0.750 0.750
0.500 0.500 0.500
0.000 0.000 0.000
0.250 0.250 0.250
```

Values from the calculation:
symmetry = F-43m (216)
uncorrected energy = -9.0090 eV/atom
energy of formation = 0.16 eV per atom


Record 24
First-principles (PBE) data for crystalline CePuTiNb at its relaxed geometry, as listed in the Alexandria database.

Cell and atoms, written as POSCAR:
```
CePuTiNb
1.0
-0.726 -3.735 3.118
1.592 -4.510 -1.151
3.808 -1.957 2.423
Ti Ce Pu Nb
1 1 1 1
Direct
0.000 0.000 0.000
0.500 0.500 0.500
0.250 0.250 0.250
0.750 0.750 0.750
```

Values from the calculation:
symmetry = F-43m (216)
uncorrected energy = -9.3838 eV/atom
energy of formation = 0.17 eV per atom


Record 25
First-principles (PBE) data for crystalline Rb3Ce3NbSe8 at its relaxed geometry, as listed in the Alexandria database.

Cell and atoms, written as POSCAR:
```
Rb3Ce3NbSe8
1.0
-2.012 -5.051 -6.408
8.050 1.901 1.485
-4.074 -6.094 6.083
Ce Se Rb Nb
3 8 3 1
Direct
0.500 0.500 0.500
0.000 0.500 0.500
0.500 0.000 0.500
0.751 0.969 0.687
0.218 0.436 0.687
0.218 0.969 0.687
0.249 0.031 0.313
0.782 0.031 0.313
0.782 0.564 0.313
0.266 0.532 0.298
0.734 0.468 0.702
0.000 0.500 0.000
0.500 0.500 0.000
0.000 0.000 0.000
0.000 0.000 0.500
```

Values from the calculation:
symmetry = R-3m (166)
uncorrected energy = -5.3727 eV/atom
formation energy (no corrections) = -1.463 eV/atom


Record 26
First-principles (PBE) data for crystalline CeNbRh2 at its relaxed geometry, as listed in the Alexandria database.

Cell and atoms, written as POSCAR:
```
CeNbRh2
1.0
-0.266 -1.256 -2.630
-0.078 -2.916 -0.227
-9.583 -1.206 -0.082
Rh Nb Ce
2 1 1
Direct
0.258 0.258 0.227
0.742 0.742 0.773
0.000 0.000 0.000
0.500 0.500 0.500
```

Values from the calculation:
symmetry = R-3m (166)
uncorrected energy = -7.8511 eV/atom
energy of formation = -0.17 eV per atom
energy above the lowest structure with this stoichiometry = 0.299 eV/atom


Record 27
First-principles (PBE) data for crystalline CeNbRh at its relaxed geometry, as listed in the Alexandria database.

Cell and atoms, written as POSCAR:
```
CeNbRh
1.0
5.594 0.000 0.000
2.797 4.409 0.000
2.797 0.000 4.850
Rh Nb Ce
2 2 2
Direct
0.750 0.500 0.500
0.250 0.500 0.500
0.846 0.308 0.000
0.154 0.692 0.000
0.647 0.000 0.706
0.353 0.000 0.294
```

Values from the calculation:
symmetry = Fmmm (69)
uncorrected energy = -8.1068 eV/atom
energy of formation = -0.32 eV per atom


Record 28
First-principles (PBE) data for crystalline CeNbRh2 at its relaxed geometry, as listed in the Alexandria database.

Cell and atoms, written as POSCAR:
```
CeNbRh2
1.0
3.145 0.000 0.000
0.000 3.145 0.000
0.000 0.000 7.449
Rh Nb Ce
2 1 1
Direct
0.000 0.000 0.210
0.000 0.000 0.790
0.500 0.500 0.000
0.500 0.500 0.500
```

Values from the calculation:
symmetry = P4/mmm (123)
uncorrected energy = -8.1502 eV/atom
energy of formation = -0.47 eV per atom
energy above the lowest structure with this stoichiometry = 0.000 eV/atom